Mg2TaTc: relaxed, PBE.

Results
- spin magnetization (μB per atom) = 0.19
- distance to the lowest polymorph of the same formula (meV per atom) = 638
- E_form (eV per atom) = 0.640

a = 4.6008 Å, b = 4.6008 Å, c = 4.6008 Å
α = 60.00°, β = 60.00°, γ = 60.00°
Fractional positions:
Mg1 0.2500 0.2500 0.2500
Mg2 0.7500 0.7500 0.7500
Ta1 0.0000 0.0000 0.0000
Tc1 0.5000 0.5000 0.5000